# In3S2 | Alexandria | PBE | relaxed
# Formation energy (no corrections), meV per atom: -172
# Density of states at the Fermi level, states/eV per cell: 9.155
# ρ, g/cm³: 4.59
# Volume, Å³/atom: 29.6
# Crystal system: trigonal
data_In3S2
_space_group_name_H-M_alt 'R -3 c'
_space_group_IT_number 167
_space_group_name_Hall '-R 3 2"c'
_cell_length_a 6.9242
_cell_length_b 6.9242
_cell_length_c 21.3567
_cell_angle_alpha 90.00
_cell_angle_beta 90.00
_cell_angle_gamma 120.00
loop_
_atom_site_label
_atom_site_type_symbol
_atom_site_fract_x
_atom_site_fract_y
_atom_site_fract_z
In1 In 0.0000 0.2634 0.2500
S1 S 0.0000 0.0000 0.1193